Entry 1:
Density functional theory data (meta-GGA SCAN) for InW3N at its PBEsol-relaxed geometry.

Unit cell a=4.8131 b=4.8131 c=4.8131 alpha=90.00 beta=90.00 gamma=90.00
Closest atoms and distances in Å follow each position.
Fractional coordinates of all 5 atoms:
N1 0.5000 0.5000 0.5000  12 W 3.40
W1 0.0000 0.5000 0.0000  2 In 2.41
In1 0.0000 0.0000 0.0000  6 W 2.41
W2 0.0000 0.0000 0.5000  2 In 2.41
W3 0.5000 0.0000 0.0000  2 In 2.41

Properties
As for the crystal system: cubic. Its raw formation energy is 4.530 eV/atom. The value obtained for the total magnetization is 0.00 μB per formula unit. As for the calculated density: 10132 kg/m³. Its raw total energy is -229.09 eV per cell.

=====

Entry 2:
Density functional theory data (meta-GGA SCAN) for Co3OF5 at its PBEsol-relaxed geometry.

Unit cell a=5.5404 b=5.5404 c=7.0286 alpha=72.59 beta=72.59 gamma=74.70
Closest atoms and distances in Å follow each position.
Fractional coordinates of all 18 atoms:
O1 0.0856 0.0856 0.6990  3 Co 1.82-1.96
F1 0.2989 0.7011 0.0000  3 Co 2.00-2.01
F2 0.6272 0.0261 0.6619  3 Co 2.00-2.03
F3 0.9739 0.3728 0.3381  3 Co 2.00-2.03
F4 0.7633 0.7633 0.0308  3 Co 1.94-2.01
F5 0.5519 0.5519 0.6368  3 Co 1.94-2.13
Co1 0.6617 0.6617 0.8291  6 F 1.94-2.00
Co2 0.3033 0.3033 0.6632  1 O 1.84, 4 F 2.01-2.03
Co3 0.0000 0.0000 0.5000  2 O 1.82, 4 F 2.03
F6 0.2367 0.2367 0.9692  3 Co 1.94-2.01
F7 0.0261 0.6272 0.6619  3 Co 2.00-2.03
Co4 0.0000 0.0000 0.0000  2 O 1.96, 4 F 2.01
F8 0.3728 0.9739 0.3381  3 Co 2.00-2.03
Co5 0.6967 0.6967 0.3368  1 O 1.84, 4 F 2.01-2.03
Co6 0.3383 0.3383 0.1709  6 F 1.94-2.00
O2 0.9144 0.9144 0.3010  3 Co 1.82-1.96
F9 0.4481 0.4481 0.3632  3 Co 1.94-2.13
F10 0.7011 0.2989 0.0000  3 Co 2.00-2.01

Properties
As for the crystal system: monoclinic. Its raw formation energy is -1.972 eV/atom. The value obtained for the total magnetization is 9.00 μB per formula unit. As for the calculated density: 4957 kg/m³. Its raw total energy is -187.19 eV per cell.

=====

Entry 3:
Density functional theory data (meta-GGA SCAN) for Sc2SbAs at its PBEsol-relaxed geometry.

Unit cell a=3.9747 b=3.9747 c=5.6217 alpha=90.00 beta=90.00 gamma=90.00
Closest atoms and distances in Å follow each position.
Fractional coordinates of all 4 atoms:
Sb1 0.5000 0.5000 0.5000  6 Sc 2.81
Sc1 0.0000 0.0000 0.5000  4 Sb 2.81, 2 As 2.81
As1 0.0000 0.0000 0.0000  6 Sc 2.81
Sc2 0.5000 0.5000 0.0000  4 As 2.81, 2 Sb 2.81

Properties
As for the crystal system: tetragonal. Its raw formation energy is -1.217 eV/atom. The value obtained for the total magnetization is 0.00 μB per formula unit. As for the calculated density: 5358 kg/m³. Its raw total energy is -90.79 eV per cell.

=====

Entry 4:
Density functional theory data (meta-GGA SCAN) for RbIn3Mo at its PBEsol-relaxed geometry.

Unit cell a=5.3028 b=5.3028 c=5.3028 alpha=90.00 beta=90.00 gamma=90.00
Closest atoms and distances in Å follow each position.
Fractional coordinates of all 5 atoms:
In1 0.0000 0.5000 0.0000  2 Mo 2.65
In2 0.0000 0.0000 0.5000  2 Mo 2.65
Mo1 0.0000 0.0000 0.0000  6 In 2.65
In3 0.5000 0.0000 0.0000  2 Mo 2.65
Rb1 0.5000 0.5000 0.5000  12 In 3.75

Properties
As for the crystal system: cubic. The formation energy is 0.5 eV per formula unit. The value obtained for the total magnetization is 0.00 μB per formula unit. As for the calculated density: 5856 kg/m³. Its raw total energy is -155.24 eV per cell.

=====

Entry 5:
Density functional theory data (meta-GGA SCAN) for InReOs2F at its PBEsol-relaxed geometry.

Unit cell a=3.9665 b=4.3648 c=4.3648 alpha=90.00 beta=90.00 gamma=90.00
Closest atoms and distances in Å follow each position.
Fractional coordinates of all 5 atoms:
Os1 0.0000 0.0000 0.5000  2 F 2.18
F1 0.0000 0.0000 0.0000  2 Re 1.98, 4 Os 2.18
Os2 0.0000 0.5000 0.0000  2 F 2.18
Re1 0.5000 0.0000 0.0000  2 F 1.98
In1 0.5000 0.5000 0.5000  8 Os 2.95, 4 Re 3.09

Properties
As for the crystal system: tetragonal. Its raw formation energy is 1.581 eV/atom. The value obtained for the total magnetization is 1.23 μB per formula unit. As for the calculated density: 15393 kg/m³. Its raw total energy is -243.88 eV per cell.

=====

Entry 6:
Density functional theory data (meta-GGA SCAN) for TlTcH2 at its PBEsol-relaxed geometry.

Unit cell a=4.8739 b=4.8739 c=4.8739 alpha=109.04 beta=109.04 gamma=110.34
Closest atoms and distances in Å follow each position.
Fractional coordinates of all 8 atoms:
H1 0.6250 0.2319 0.1069  2 Tc 1.77
Tc1 0.5000 0.5000 0.0000  4 H 1.77
H2 0.1250 0.5181 0.8931  2 Tc 1.77
H3 0.7681 0.8750 0.3931  2 Tc 1.77
Tl1 0.0000 0.0000 0.0000  8 H 2.56-2.65, 2 Tc 2.78
Tc2 0.7500 0.2500 0.5000  4 H 1.77
H4 0.4819 0.3750 0.6069  2 Tc 1.77
Tl2 0.2500 0.7500 0.5000  8 H 2.56-2.65, 2 Tc 2.78

Properties
As for the crystal system: tetragonal. The value obtained for the total magnetization is 0.00 μB per formula unit. As for the calculated density: 11344 kg/m³. Its raw total energy is -224.99 eV per cell.

=====

Entry 7:
Density functional theory data (meta-GGA SCAN) for Zn2Au at its PBEsol-relaxed geometry.

Unit cell a=2.9206 b=5.1493 c=6.4118 alpha=102.70 beta=90.00 gamma=106.47
Closest atoms and distances in Å follow each position.
Fractional coordinates of all 6 atoms:
Au1 0.9898 0.9795 0.9864  8 Zn 2.66-2.72, 2 Au 2.92
Zn1 0.3946 0.7892 0.2790  5 Au 2.71-2.73, 7 Zn 2.71-2.92
Zn2 0.0562 0.1124 0.6068  3 Au 2.66-2.69, 9 Zn 2.69-2.92
Zn3 0.3346 0.6693 0.6710  4 Au 2.67-2.71, 8 Zn 2.69-2.92
Zn4 0.7137 0.4274 0.9429  4 Au 2.68-2.72, 8 Zn 2.75-2.92
Au2 0.6778 0.3556 0.3473  8 Zn 2.69-2.73, 4 Au 2.92-2.99

Properties
As for the crystal system: monoclinic. The formation energy is -0.5 eV per formula unit. The value obtained for the total magnetization is 0.00 μB per formula unit. As for the calculated density: 12095 kg/m³. Its raw total energy is -193.42 eV per cell.

=====

Entry 8:
Density functional theory data (meta-GGA SCAN) for Li2FeW at its PBEsol-relaxed geometry.

Unit cell a=4.0701 b=4.0701 c=4.0701 alpha=60.00 beta=60.00 gamma=60.00
Closest atoms and distances in Å follow each position.
Fractional coordinates of all 4 atoms:
W1 0.5000 0.5000 0.5000  4 Fe 2.49, 4 Li 2.49
Fe1 0.2500 0.2500 0.2500  4 W 2.49, 4 Li 2.49
Li1 0.0000 0.0000 0.0000  4 Fe 2.49, 4 Li 2.49
Li2 0.7500 0.7500 0.7500  4 Li 2.49, 4 W 2.49

Properties
As for the crystal system: cubic. The formation energy is 2.3 eV per formula unit. The value obtained for the total magnetization is 0.00 μB per formula unit. As for the calculated density: 8832 kg/m³. Its raw total energy is -90.28 eV per cell.

=====

Entry 9:
Density functional theory data (meta-GGA SCAN) for KZnAu2 at its PBEsol-relaxed geometry.

Unit cell a=2.7970 b=5.3146 c=5.3146 alpha=90.47 beta=90.00 gamma=90.00
Closest atoms and distances in Å follow each position.
Fractional coordinates of all 4 atoms:
Au1 0.0000 0.0000 0.5000  2 Au 2.80, 4 K 3.00, 4 Zn 3.00
K1 0.5000 0.0000 0.0000  2 K 2.80, 8 Au 3.00
Zn1 0.5000 0.5000 0.5000  2 Zn 2.80, 8 Au 3.00
Au2 0.0000 0.5000 0.0000  2 Au 2.80, 4 Zn 3.00, 4 K 3.00

Properties
As for the crystal system: orthorhombic. The formation energy is -0.1 eV per formula unit. The value obtained for the total magnetization is 0.00 μB per formula unit. As for the calculated density: 10477 kg/m³. Its raw total energy is -160.27 eV per cell.

=====

Entry 10:
Density functional theory data (meta-GGA SCAN) for CoTeCl3 at its PBEsol-relaxed geometry.

Unit cell a=4.5391 b=4.5391 c=4.5391 alpha=90.00 beta=90.00 gamma=90.00
Closest atoms and distances in Å follow each position.
Fractional coordinates of all 5 atoms:
Te1 0.5000 0.5000 0.5000  12 Cl 3.21
Cl1 0.5000 0.0000 0.0000  2 Co 2.27
Co1 0.0000 0.0000 0.0000  6 Cl 2.27
Cl2 0.0000 0.5000 0.0000  2 Co 2.27
Cl3 0.0000 0.0000 0.5000  2 Co 2.27

Properties
As for the crystal system: cubic. Its raw formation energy is -0.155 eV/atom. The value obtained for the total magnetization is 1.62 μB per formula unit. As for the calculated density: 5201 kg/m³. Its raw total energy is -79.26 eV per cell.

=====

Look up the raw total energy of the seventh one. -193.42 eV per cell

=====

Which of these has the highest raw total energy? CoTeCl3

=====

Which of these has the lowest calculated density? Co3OF5